P | A relaxed structure of AcAgO4, computed with GGA-PBE.

Unit cell a=3.828 b=4.268 c=6.620 alpha=91.06 beta=90.01 gamma=116.64
Site moments in Bohr magnetons follow the coordinates.
Element x y z (fractional)
O1 0.389 0.777 0.081  0.06
Ac1 0.071 0.142 0.045  0.01
Ag1 0.445 0.890 0.505  0.15
O2 0.074 0.148 0.416  0.20
O3 0.681 0.363 0.771  0.29
O4 0.840 0.680 0.683  0.28

## Properties
The calculation puts the density of states at the Fermi level at 2.2 states/eV/f.u.

Q | A relaxed structure of AcAgO4, computed with GGA-PBE.

Unit cell a=5.067 b=5.067 c=6.552 alpha=90.00 beta=90.00 gamma=90.00
Element x y z (fractional)
O1 0.352 0.000 0.207
Ac1 0.000 0.000 0.500
O2 0.852 0.500 0.293
Ag1 0.500 0.500 0.500
O3 0.500 0.852 0.707
Ac2 0.500 0.500 0.000
O4 0.000 0.648 0.793
O5 0.000 0.352 0.793
O6 0.148 0.500 0.293
Ag2 0.000 0.000 0.000
O7 0.500 0.148 0.707
O8 0.648 0.000 0.207

Most stable structure: P

P | A relaxed structure of Ac4Ag2Os, computed with GGA-PBE.

Unit cell a=5.780 b=5.780 c=8.901 alpha=108.94 beta=108.94 gamma=90.00
Element x y z (fractional)
Ac1 0.185 0.185 0.369
Ag1 0.386 0.386 0.772
Ac2 0.500 0.000 0.000
Os1 0.000 0.000 0.000
Ac3 0.000 0.500 0.000
Ac4 0.815 0.815 0.631
Ag2 0.614 0.614 0.228

## Properties
The calculation puts the density of states at the Fermi level at 9.3 states/eV/f.u.

Q | A relaxed structure of Ac4Ag2Os, computed with GGA-PBE.

Unit cell a=4.546 b=6.754 c=8.377 alpha=101.78 beta=105.75 gamma=90.00
Element x y z (fractional)
Ag1 0.235 0.361 0.470
Ac1 0.424 0.731 0.849
Ac2 0.849 0.174 0.698
Ac3 0.151 0.826 0.302
Ac4 0.576 0.269 0.151
Ag2 0.765 0.639 0.530
Os1 0.000 0.000 0.000

## Properties
The calculation puts the density of states at the Fermi level at 5.4 states/eV/f.u.

Most stable structure: Q

P | A relaxed structure of AcAgP, computed with GGA-PBE.

Unit cell a=4.891 b=4.891 c=4.891 alpha=60.00 beta=60.00 gamma=60.00
Element x y z (fractional)
P1 0.250 0.250 0.250
Ac1 0.500 0.500 0.500
Ag1 0.000 0.000 0.000

## Properties
The calculation puts the density of states at the Fermi level at 3.2 states/eV/f.u.

Q | A relaxed structure of AcAgP, computed with GGA-PBE.

Unit cell a=4.216 b=4.216 c=5.429 alpha=112.85 beta=112.85 gamma=90.00
Element x y z (fractional)
Ac1 0.936 0.936 0.873
P1 0.313 0.313 0.625
Ag1 0.601 0.601 0.202

## Properties
The calculation puts the density of states at the Fermi level at 1.4 states/eV/f.u.

Most stable structure: P

P | A relaxed structure of AcAgP, computed with GGA-PBE.

Unit cell a=4.503 b=6.119 c=6.258 alpha=94.66 beta=89.96 gamma=68.41
Element x y z (fractional)
Ac1 0.638 0.724 0.251
Ag1 0.078 0.843 0.660
P1 0.668 0.663 0.760
Ag2 0.922 0.157 0.340
Ac2 0.362 0.276 0.749
P2 0.332 0.337 0.240

## Properties
The calculation puts the density of states at the Fermi level at 0.4 states/eV/f.u.

Q | A relaxed structure of AcAgP, computed with GGA-PBE.

Unit cell a=4.381 b=4.414 c=4.414 alpha=120.00 beta=90.00 gamma=90.00
Element x y z (fractional)
P1 0.167 0.000 0.000
Ac1 0.667 0.667 0.333
Ag1 0.166 0.333 0.667

## Properties
The calculation puts the density of states at the Fermi level at 2.4 states/eV/f.u.

Most stable structure: P

P | A relaxed structure of Ac2PaAg, computed with GGA-PBE.

Unit cell a=3.513 b=3.513 c=12.302 alpha=81.79 beta=81.79 gamma=60.00
Element x y z (fractional)
Pa1 0.000 0.000 0.000
Ag1 0.500 0.500 0.500
Ac1 0.094 0.094 0.719
Ac2 0.906 0.906 0.281

## Properties
The calculation puts the density of states at the Fermi level at 5.3 states/eV/f.u.

Q | A relaxed structure of Ac2PaAg, computed with GGA-PBE.

Unit cell a=3.704 b=3.704 c=9.329 alpha=90.00 beta=90.00 gamma=90.00
Element x y z (fractional)
Ac1 0.000 0.000 0.767
Ac2 0.000 0.000 0.233
Ag1 0.500 0.500 0.000
Pa1 0.500 0.500 0.500

## Properties
The calculation puts the density of states at the Fermi level at 4.9 states/eV/f.u.

Most stable structure: Q

P | A relaxed structure of AcPaAg2, computed with GGA-PBE.

Unit cell a=3.294 b=3.294 c=11.815 alpha=81.99 beta=81.99 gamma=60.00
Site moments in Bohr magnetons follow the coordinates.
Element x y z (fractional)
Ag1 0.914 0.914 0.259  0.01
Ac1 0.500 0.500 0.500  -0.01
Ag2 0.086 0.086 0.741  0.01
Pa1 0.000 0.000 0.000  0.68

## Properties
The calculation puts the density of states at the Fermi level at 5.2 states/eV/f.u.

Q | A relaxed structure of AcPaAg2, computed with GGA-PBE.

Unit cell a=3.654 b=3.654 c=8.125 alpha=90.00 beta=90.00 gamma=90.00
Site moments in Bohr magnetons follow the coordinates.
Element x y z (fractional)
Ag1 0.000 0.000 0.771  0.01
Ag2 0.000 0.000 0.229  0.01
Pa1 0.500 0.500 0.000  1.26
Ac1 0.500 0.500 0.500  0.00

## Properties
The calculation puts the density of states at the Fermi level at 6.9 states/eV/f.u.

Most stable structure: Q

P | A relaxed structure of Ac2Ag3Pb2, computed with GGA-PBE.

Unit cell a=4.627 b=8.085 c=11.191 alpha=90.00 beta=101.93 gamma=90.00
Element x y z (fractional)
Ag1 0.445 0.578 0.890
Ac1 0.947 0.250 0.894
Ac2 0.053 0.750 0.106
Ag2 0.555 0.078 0.110
Pb1 0.681 0.947 0.363
Ac3 0.155 0.250 0.309
Ag3 0.223 0.750 0.446
Ac4 0.845 0.750 0.691
Pb2 0.681 0.553 0.363
Ag4 0.445 0.922 0.890
Pb3 0.319 0.053 0.637
Ag5 0.777 0.250 0.554
Pb4 0.319 0.447 0.637
Ag6 0.555 0.422 0.110

## Properties
The calculation puts the density of states at the Fermi level at 4.5 states/eV/f.u.

Q | A relaxed structure of Ac2Ag3Pb2, computed with GGA-PBE.

Unit cell a=4.918 b=6.409 c=7.301 alpha=108.61 beta=90.00 gamma=112.56
Element x y z (fractional)
Pb1 0.150 0.300 0.238
Ac1 0.856 0.712 0.252
Ag1 0.500 0.000 0.000
Ag2 0.409 0.819 0.582
Ag3 0.591 0.181 0.418
Pb2 0.850 0.700 0.762
Ac2 0.144 0.288 0.748

## Properties
The calculation puts the density of states at the Fermi level at 4.1 states/eV/f.u.

Most stable structure: Q

P | A relaxed structure of Ac3Ag4Pb4, computed with GGA-PBE.

Unit cell a=4.932 b=4.388 c=15.388 alpha=98.20 beta=99.22 gamma=90.00
Element x y z (fractional)
Ag1 0.812 0.312 0.624
Ac1 0.644 0.144 0.288
Ac2 0.356 0.856 0.712
Ag2 0.454 0.454 0.909
Pb1 0.255 0.255 0.511
Ac3 0.000 0.000 0.000
Pb2 0.745 0.745 0.489
Pb3 0.094 0.594 0.189
Pb4 0.906 0.406 0.811
Ag3 0.188 0.688 0.376
Ag4 0.546 0.546 0.091

## Properties
The calculation puts the density of states at the Fermi level at 7.1 states/eV/f.u.

Q | A relaxed structure of Ac3Ag4Pb4, computed with GGA-PBE.

Unit cell a=4.979 b=7.701 c=9.438 alpha=114.08 beta=105.29 gamma=90.00
Element x y z (fractional)
Pb1 0.783 0.283 0.566
Pb2 0.217 0.717 0.434
Pb3 0.500 0.198 0.000
Ag1 0.332 0.143 0.664
Ac1 0.132 0.132 0.264
Ac2 0.000 0.500 0.000
Ag2 0.668 0.857 0.336
Ag3 0.668 0.479 0.336
Ac3 0.868 0.868 0.736
Pb4 0.500 0.802 0.000
Ag4 0.332 0.521 0.664

## Properties
The calculation puts the density of states at the Fermi level at 3.2 states/eV/f.u.

Most stable structure: Q

P | A relaxed structure of AcAgPb2, computed with GGA-PBE.

Unit cell a=4.818 b=9.956 c=10.515 alpha=90.00 beta=90.00 gamma=104.00
Element x y z (fractional)
Pb1 0.942 0.884 0.750
Ac1 0.500 0.000 0.500
Ac2 0.693 0.386 0.250
Ag1 0.140 0.280 0.477
Ag2 0.860 0.720 0.523
Pb2 0.099 0.198 0.750
Pb3 0.700 0.400 0.591
Pb4 0.300 0.600 0.091
Ac3 0.307 0.614 0.750
Ag3 0.140 0.280 0.023
Pb5 0.300 0.600 0.409
Pb6 0.700 0.400 0.909
Ac4 0.500 0.000 0.000
Pb7 0.901 0.802 0.250
Pb8 0.058 0.116 0.250
Ag4 0.860 0.720 0.977

## Properties
The calculation puts the density of states at the Fermi level at 2.2 states/eV/f.u.

Q | A relaxed structure of AcAgPb2, computed with GGA-PBE.

Unit cell a=5.537 b=5.537 c=5.537 alpha=60.00 beta=60.00 gamma=60.00
Element x y z (fractional)
Pb1 0.250 0.250 0.250
Ac1 0.500 0.500 0.500
Ag1 0.000 0.000 0.000
Pb2 0.750 0.750 0.750

## Properties
The calculation puts the density of states at the Fermi level at 0.6 states/eV/f.u.

Most stable structure: P

P | A relaxed structure of AcAgPdPb, computed with GGA-PBE.

Unit cell a=4.340 b=4.340 c=11.556 alpha=90.00 beta=90.00 gamma=90.00
Element x y z (fractional)
Pb1 0.000 0.500 0.334
Ag1 0.500 0.500 0.500
Pd1 0.500 0.000 0.913
Ac1 0.500 0.000 0.177
Ag2 0.000 0.000 0.500
Ac2 0.000 0.500 0.823
Pb2 0.500 0.000 0.666
Pd2 0.000 0.500 0.087

## Properties
The calculation puts the density of states at the Fermi level at 2.8 states/eV/f.u.

Q | A relaxed structure of AcAgPdPb, computed with GGA-PBE.

Unit cell a=5.227 b=5.227 c=5.227 alpha=60.00 beta=60.00 gamma=60.00
Element x y z (fractional)
Ac1 0.500 0.500 0.500
Ag1 0.750 0.750 0.750
Pb1 0.000 0.000 0.000
Pd1 0.250 0.250 0.250

## Properties
The calculation puts the density of states at the Fermi level at 2.6 states/eV/f.u.

Most stable structure: Q

P | A relaxed structure of Ac4AgPd, computed with GGA-PBE.

Unit cell a=6.840 b=7.747 c=8.668 alpha=90.00 beta=108.67 gamma=90.00
Element x y z (fractional)
Ac1 0.570 0.250 0.881
Ac2 0.008 0.998 0.736
Ac3 0.992 0.498 0.264
Pd1 0.791 0.750 0.448
Ac4 0.438 0.750 0.597
Ac5 0.430 0.750 0.119
Ac6 0.992 0.002 0.264
Ac7 0.008 0.502 0.736
Pd2 0.209 0.250 0.552
Ag1 0.205 0.250 0.052
Ag2 0.795 0.750 0.948
Ac8 0.562 0.250 0.403

## Properties
The calculation puts the density of states at the Fermi level at 7.2 states/eV/f.u.

Q | A relaxed structure of Ac4AgPd, computed with GGA-PBE.

Unit cell a=8.688 b=8.688 c=8.688 alpha=106.88 beta=106.88 gamma=114.79
Element x y z (fractional)
Ac1 0.763 0.066 0.304
Ac2 0.237 0.535 0.298
Ag1 0.499 0.999 0.500
Ac3 0.689 0.487 0.202
Ac4 0.763 0.459 0.696
Ac5 0.816 0.013 0.804
Pd1 0.252 0.252 0.000
Pd2 0.002 0.502 0.500
Ac6 0.285 0.487 0.798
Ac7 0.209 0.013 0.196
Ag2 0.749 0.749 0.000
Ac8 0.237 0.939 0.702

## Properties
The calculation puts the density of states at the Fermi level at 8.3 states/eV/f.u.

Most stable structure: P

P | A relaxed structure of AcAg2Pd3, computed with GGA-PBE.

Unit cell a=4.142 b=4.142 c=15.473 alpha=97.69 beta=97.69 gamma=90.00
Element x y z (fractional)
Pd1 0.456 0.956 0.913
Ac1 0.144 0.144 0.287
Ag1 0.400 0.400 0.800
Ag2 0.750 0.250 0.500
Ag3 0.250 0.750 0.500
Pd2 0.044 0.544 0.087
Ac2 0.856 0.856 0.713
Pd3 0.312 0.312 0.624
Pd4 0.688 0.688 0.376
Pd5 0.544 0.044 0.087
Pd6 0.956 0.456 0.913
Ag4 0.600 0.600 0.200

## Properties
The calculation puts the density of states at the Fermi level at 3.6 states/eV/f.u.

Q | A relaxed structure of AcAg2Pd3, computed with GGA-PBE.

Unit cell a=5.515 b=6.814 c=6.814 alpha=91.31 beta=90.00 gamma=90.00
Element x y z (fractional)
Pd1 0.750 0.071 0.442
Ac1 0.750 0.727 0.727
Ag1 0.000 0.750 0.250
Ag2 0.500 0.250 0.750
Pd2 0.750 0.043 0.043
Ag3 0.500 0.750 0.250
Pd3 0.250 0.957 0.957
Ac2 0.250 0.273 0.273
Ag4 0.000 0.250 0.750
Pd4 0.750 0.442 0.071
Pd5 0.250 0.929 0.558
Pd6 0.250 0.558 0.929

## Properties
The calculation puts the density of states at the Fermi level at 1.9 states/eV/f.u.

Most stable structure: Q